LaAlP: optimized geometry, PBE.

Cell lengths 4.214, 4.214, 4.326 Å; angles 90.00, 90.00, 120.00 degrees
Fractional positions:
La1 0.000 0.000 0.000
Al1 0.333 0.667 0.500
P1 0.667 0.333 0.500

Properties
The calculated formation energy comes out at -2.38 eV per formula unit. The total magnetic moment is 0.0 Bohr magnetons per cell. The space-group type is P-6m2.


LaAlP: optimized geometry, PBE.

Cell lengths 4.894, 4.894, 4.894 Å; angles 60.00, 60.00, 60.00 degrees
Fractional positions:
La1 0.000 0.000 0.000
Al1 0.250 0.250 0.250
P1 0.750 0.750 0.750

Properties
The calculated formation energy comes out at -0.23 eV per formula unit. The total magnetic moment is 0.0 Bohr magnetons per cell. The space-group type is F-43m.


LaAlP: optimized geometry, PBE.

Cell lengths 8.278, 8.278, 8.278 Å; angles 34.26, 34.26, 34.26 degrees
Fractional positions:
La1 0.095 0.095 0.095
La2 0.905 0.905 0.905
Al1 0.322 0.322 0.322
Al2 0.678 0.678 0.678
P1 0.219 0.219 0.219
P2 0.781 0.781 0.781

Properties
The calculated formation energy comes out at -2.60 eV per formula unit. The total magnetic moment is 0.0 Bohr magnetons per cell. The space-group type is R-3m.


LaAlP: optimized geometry, PBE.

Cell lengths 5.864, 5.864, 5.864 Å; angles 145.48, 145.48, 49.63 degrees
Fractional positions:
La1 0.000 0.000 0.000
Al1 0.713 0.713 0.000
P1 0.300 0.300 0.000

Properties
The calculated formation energy comes out at -1.75 eV per formula unit. The total magnetic moment is 0.0 Bohr magnetons per cell. The space-group type is I4mm.


La2AlP2: optimized geometry, PBE.

Cell lengths 7.667, 7.667, 4.031 Å; angles 90.00, 90.00, 90.00 degrees
Fractional positions:
La1 0.154 0.346 0.000
La2 0.346 0.846 0.000
La3 0.654 0.154 0.000
La4 0.846 0.654 0.000
Al1 0.000 0.000 0.500
Al2 0.500 0.500 0.500
P1 0.158 0.658 0.500
P2 0.342 0.158 0.500
P3 0.658 0.842 0.500
P4 0.842 0.342 0.500

Properties
The calculated formation energy comes out at -5.20 eV per formula unit. The total magnetic moment is 0.0 Bohr magnetons per cell. The space-group type is P4/mbm.


LaAl3P: optimized geometry, PBE.

Cell lengths 4.846, 4.846, 4.846 Å; angles 90.00, 90.00, 90.00 degrees
Fractional positions:
La1 0.000 0.000 0.000
Al1 0.000 0.500 0.500
Al2 0.500 0.000 0.500
Al3 0.500 0.500 0.000
P1 0.500 0.500 0.500

Properties
The calculated formation energy comes out at 0.26 eV per formula unit. The total magnetic moment is 0.0 Bohr magnetons per cell. The space-group type is Pm-3m.


LaAl2P2: optimized geometry, PBE.

Cell lengths 4.475, 4.475, 11.118 Å; angles 90.00, 90.00, 120.00 degrees
Fractional positions:
La1 0.333 0.667 0.250
La2 0.667 0.333 0.750
Al1 0.333 0.667 0.548
Al2 0.333 0.667 0.952
Al3 0.667 0.333 0.048
Al4 0.667 0.333 0.452
P1 0.000 0.000 0.102
P2 0.000 0.000 0.398
P3 0.000 0.000 0.602
P4 0.000 0.000 0.898

Properties
The calculated formation energy comes out at -2.46 eV per formula unit. The total magnetic moment is 0.0 Bohr magnetons per cell. The space-group type is P6_3/mmc.


La4AlP: optimized geometry, PBE.

Cell lengths 6.308, 6.308, 6.308 Å; angles 60.00, 60.00, 60.00 degrees
Fractional positions:
La1 0.125 0.125 0.125
La2 0.125 0.125 0.624
La3 0.125 0.624 0.125
La4 0.624 0.125 0.125
Al1 0.500 0.500 0.500
P1 0.750 0.750 0.750

Properties
The calculated formation energy comes out at 1.70 eV per formula unit. The total magnetic moment is 0.0 Bohr magnetons per cell. The space-group type is F-43m.


LaAlP: optimized geometry, PBE.

Cell lengths 4.739, 4.739, 4.739 Å; angles 60.00, 60.00, 60.00 degrees
Fractional positions:
La1 0.000 0.000 0.000
Al1 0.500 0.500 0.500
P1 0.750 0.750 0.750

Properties
The calculated formation energy comes out at -1.22 eV per formula unit. The total magnetic moment is 0.0 Bohr magnetons per cell. The space-group type is F-43m.


LaAl3P: optimized geometry, PBE.

Cell lengths 5.694, 5.694, 5.694 Å; angles 90.00, 90.00, 90.00 degrees
Fractional positions:
La1 0.000 0.000 0.000
Al1 0.000 0.000 0.500
Al2 0.000 0.500 0.000
Al3 0.500 0.000 0.000
P1 0.500 0.500 0.500

Properties
The calculated formation energy comes out at 7.94 eV per formula unit. The total magnetic moment is 0.0 Bohr magnetons per cell. The space-group type is Pm-3m.


LaAlP: optimized geometry, PBE.

Cell lengths 4.697, 4.697, 4.697 Å; angles 60.00, 60.00, 60.00 degrees
Fractional positions:
La1 0.000 0.000 0.000
Al1 0.750 0.750 0.750
P1 0.500 0.500 0.500

Properties
The calculated formation energy comes out at -0.49 eV per formula unit. The total magnetic moment is 0.0 Bohr magnetons per cell. The space-group type is F-43m.


La2AlP3Rh4: optimized geometry, PBE.

Cell lengths 4.151, 4.151, 10.073 Å; angles 90.00, 90.00, 90.00 degrees
Fractional positions:
La1 0.000 0.500 0.249
La2 0.500 0.000 0.751
Al1 0.500 0.500 0.000
P1 0.000 0.000 0.000
P2 0.000 0.500 0.633
P3 0.500 0.000 0.367
Rh1 0.000 0.000 0.500
Rh2 0.000 0.500 0.870
Rh3 0.500 0.000 0.130
Rh4 0.500 0.500 0.500

Properties
The calculated formation energy comes out at -10.85 eV per formula unit. The total magnetic moment is 0.0 Bohr magnetons per cell. The space-group type is P-4m2.


LaAlPRh6: optimized geometry, PBE.

Cell lengths 7.886, 7.886, 7.886 Å; angles 134.78, 109.24, 88.06 degrees
Fractional positions:
La1 0.430 0.180 0.250
La2 0.570 0.820 0.750
Al1 0.000 0.000 0.500
Al2 0.000 0.500 0.000
P1 0.000 0.500 0.500
P2 0.500 0.500 0.000
Rh1 0.118 0.362 0.219
Rh2 0.118 0.899 0.756
Rh3 0.169 0.919 0.250
Rh4 0.310 0.560 0.750
Rh5 0.356 0.101 0.719
Rh6 0.356 0.638 0.256
Rh7 0.644 0.362 0.744
Rh8 0.644 0.899 0.281
Rh9 0.690 0.440 0.250
Rh10 0.831 0.081 0.750
Rh11 0.882 0.101 0.244
Rh12 0.882 0.638 0.781

Properties
The calculated formation energy comes out at -3.08 eV per formula unit. The total magnetic moment is 0.0 Bohr magnetons per cell. The space-group type is Imma.


LaAlPS2: optimized geometry, PBE.

Cell lengths 5.513, 5.513, 5.807 Å; angles 90.00, 90.00, 90.00 degrees
Fractional positions:
La1 0.000 0.000 0.000
Al1 0.500 0.500 0.500
P1 0.000 0.000 0.500
S1 0.000 0.500 0.000
S2 0.500 0.000 0.000

Properties
The total magnetic moment is 2.4 Bohr magnetons per cell. Its uncorrected formation energy is 0.14 eV/atom. The space-group type is P4/mmm.


LaAlP2S: optimized geometry, PBE.

Cell lengths 4.626, 4.626, 4.894 Å; angles 90.00, 90.00, 90.00 degrees
Fractional positions:
La1 0.000 0.000 0.000
Al1 0.500 0.500 0.500
P1 0.000 0.500 0.500
P2 0.500 0.000 0.500
S1 0.500 0.500 0.000

Properties
The total magnetic moment is 0.0 Bohr magnetons per cell. Its uncorrected formation energy is -0.61 eV/atom. The space-group type is P4/mmm.


LaAlP2S: optimized geometry, PBE.

Cell lengths 5.628, 5.628, 5.475 Å; angles 90.00, 90.00, 90.00 degrees
Fractional positions:
La1 0.000 0.000 0.000
Al1 0.500 0.500 0.500
P1 0.000 0.500 0.000
P2 0.500 0.000 0.000
S1 0.000 0.000 0.500

Properties
The total magnetic moment is 2.3 Bohr magnetons per cell. Its uncorrected formation energy is 0.55 eV/atom. The space-group type is P4/mmm.


LaAlPS2: optimized geometry, PBE.

Cell lengths 4.721, 4.721, 4.663 Å; angles 90.00, 90.00, 90.00 degrees
Fractional positions:
La1 0.000 0.000 0.000
Al1 0.500 0.500 0.500
P1 0.500 0.500 0.000
S1 0.000 0.500 0.500
S2 0.500 0.000 0.500

Properties
The total magnetic moment is 0.0 Bohr magnetons per cell. Its uncorrected formation energy is -0.96 eV/atom. The space-group type is P4/mmm.


LaAlP2S8: optimized geometry, PBE.

Cell lengths 6.452, 6.452, 8.345 Å; angles 90.00, 90.00, 120.00 degrees
Fractional positions:
La1 0.000 0.000 0.000
Al1 0.000 0.000 0.500
P1 0.333 0.667 0.226
P2 0.667 0.333 0.774
S1 0.155 0.309 0.292
S2 0.155 0.845 0.292
S3 0.309 0.155 0.708
S4 0.333 0.667 0.987
S5 0.667 0.333 0.013
S6 0.691 0.845 0.292
S7 0.845 0.155 0.708
S8 0.845 0.691 0.708

Properties
The total magnetic moment is 0.0 Bohr magnetons per cell. Its uncorrected formation energy is -0.57 eV/atom. The space-group type is P-3m1.


LaSc2AlP: optimized geometry, PBE.

Cell lengths 4.994, 4.994, 4.893 Å; angles 90.00, 90.00, 90.00 degrees
Fractional positions:
La1 0.000 0.000 0.000
Sc1 0.000 0.500 0.500
Sc2 0.500 0.000 0.500
Al1 0.500 0.500 0.000
P1 0.500 0.500 0.500

Properties
The calculated formation energy comes out at -1.56 eV per formula unit. The total magnetic moment is 0.0 Bohr magnetons per cell. The space-group type is P4/mmm.


LaSc2AlP: optimized geometry, PBE.

Cell lengths 4.949, 4.949, 5.499 Å; angles 90.00, 90.00, 90.00 degrees
Fractional positions:
La1 0.000 0.000 0.000
Sc1 0.000 0.500 0.500
Sc2 0.500 0.000 0.500
Al1 0.500 0.500 0.000
P1 0.000 0.000 0.500

Properties
The calculated formation energy comes out at -2.62 eV per formula unit. The total magnetic moment is 0.0 Bohr magnetons per cell. The space-group type is P4/mmm.


Sr2LaAl2P4: optimized geometry, PBE.

Cell lengths 7.941, 7.941, 7.343 Å; angles 108.98, 108.98, 29.90 degrees
Fractional positions:
Sr1 0.127 0.127 0.050
Sr2 0.873 0.873 0.950
La1 0.000 0.000 0.500
Al1 0.325 0.325 0.516
Al2 0.675 0.675 0.484
P1 0.213 0.213 0.688
P2 0.471 0.471 0.764
P3 0.529 0.529 0.236
P4 0.787 0.787 0.312

Properties
The calculated formation energy comes out at -8.66 eV per formula unit. The total magnetic moment is 0.0 Bohr magnetons per cell. The space-group type is C2/m.


SrLaAl2P: optimized geometry, PBE.

Cell lengths 5.693, 5.693, 5.509 Å; angles 90.00, 90.00, 90.00 degrees
Fractional positions:
Sr1 0.000 0.000 0.000
La1 0.500 0.500 0.500
Al1 0.000 0.500 0.500
Al2 0.500 0.000 0.500
P1 0.500 0.500 0.000

Properties
The calculated formation energy comes out at 1.74 eV per formula unit. The total magnetic moment is 0.0 Bohr magnetons per cell. The space-group type is P4/mmm.


La2ZrAlP: optimized geometry, PBE.

Cell lengths 5.804, 5.804, 4.502 Å; angles 90.00, 90.00, 90.00 degrees
Fractional positions:
La1 0.000 0.500 0.000
La2 0.500 0.000 0.000
Zr1 0.000 0.000 0.500
Al1 0.500 0.500 0.000
P1 0.500 0.500 0.500

Properties
The calculated formation energy comes out at 2.38 eV per formula unit. The total magnetic moment is 3.4 Bohr magnetons per cell. The space-group type is P4/mmm.


LaZr2AlP: optimized geometry, PBE.

Cell lengths 5.159, 5.159, 4.660 Å; angles 90.00, 90.00, 90.00 degrees
Fractional positions:
La1 0.000 0.000 0.000
Zr1 0.000 0.500 0.500
Zr2 0.500 0.000 0.500
Al1 0.500 0.500 0.500
P1 0.500 0.500 0.000

Properties
The calculated formation energy comes out at 1.87 eV per formula unit. The total magnetic moment is 0.0 Bohr magnetons per cell. The space-group type is P4/mmm.


La2ZrAlP: optimized geometry, PBE.

Cell lengths 5.610, 5.610, 5.058 Å; angles 90.00, 90.00, 90.00 degrees
Fractional positions:
La1 0.000 0.500 0.000
La2 0.500 0.000 0.000
Zr1 0.000 0.000 0.500
Al1 0.000 0.000 0.000
P1 0.500 0.500 0.500

Properties
The calculated formation energy comes out at 1.85 eV per formula unit. The total magnetic moment is 1.0 Bohr magnetons per cell. The space-group type is P4/mmm.


La2PaAl: optimized geometry, PBE.

Cell lengths 3.487, 3.487, 9.223 Å; angles 90.00, 90.00, 90.00 degrees
Fractional positions:
La1 0.000 0.000 0.235
La2 0.000 0.000 0.765
Pa1 0.500 0.500 0.500
Al1 0.500 0.500 0.000

Properties
The calculated formation energy comes out at 0.04 eV per formula unit. The total magnetic moment is 0.0 Bohr magnetons per cell. The space-group type is P4/mmm.


LaPaAl2: optimized geometry, PBE.

Cell lengths 5.621, 5.621, 3.099 Å; angles 90.00, 90.00, 90.00 degrees
Fractional positions:
La1 0.000 0.000 0.000
Pa1 0.500 0.500 0.000
Al1 0.000 0.500 0.500
Al2 0.500 0.000 0.500

Properties
The calculated formation energy comes out at -0.42 eV per formula unit. The total magnetic moment is 0.0 Bohr magnetons per cell. The space-group type is P4/mmm.